K2MgN: optimized geometry, PBE-GGA.

The structure in CIF format:
```
data_K2MgN
_symmetry_space_group_name_H-M 'P 1'
_symmetry_Int_Tables_number 1
_cell_length_a 5.3187
_cell_length_b 5.3187
_cell_length_c 5.3187
_cell_angle_alpha 60.00
_cell_angle_beta 60.00
_cell_angle_gamma 60.00
loop_
_symmetry_equiv_pos_as_xyz
'x,y,z'
loop_
_atom_site_label
_atom_site_type_symbol
_atom_site_fract_x
_atom_site_fract_y
_atom_site_fract_z
K1 K 0.2500 0.2500 0.2500
K2 K 0.7500 0.7500 0.7500
Mg1 Mg 0.0000 0.0000 0.0000
N1 N 0.5000 0.5000 0.5000
```

Values from the calculation:
SG   Fm-3m, No. 225
Raw formation energy   0.9937 eV per atom
VASP energy   -2.04 eV per atom
Relative energy among the computed polymorphs   909 meV per atom

=====

Sc6As3Se2S: optimized geometry, PBE-GGA.

The structure in CIF format:
```
data_Sc6As3Se2S
_symmetry_space_group_name_H-M 'P 1'
_symmetry_Int_Tables_number 1
_cell_length_a 8.6225
_cell_length_b 8.6225
_cell_length_c 7.7052
_cell_angle_alpha 103.10
_cell_angle_beta 103.10
_cell_angle_gamma 25.78
loop_
_symmetry_equiv_pos_as_xyz
'x,y,z'
loop_
_atom_site_label
_atom_site_type_symbol
_atom_site_fract_x
_atom_site_fract_y
_atom_site_fract_z
Sc1 Sc 0.0034 0.0034 0.2538
Sc2 Sc 0.3358 0.3358 0.4256
Sc3 Sc 0.3371 0.3371 0.9087
Sc4 Sc 0.6629 0.6629 0.0913
Sc5 Sc 0.6642 0.6642 0.5744
Sc6 Sc 0.9966 0.9966 0.7462
As1 As 0.1683 0.1683 0.3350
As2 As 0.5000 0.5000 0.0000
As3 As 0.8317 0.8317 0.6650
Se1 Se 0.1663 0.1663 0.8340
Se2 Se 0.8337 0.8337 0.1660
S1 S 0.5000 0.5000 0.5000
```

Values from the calculation:
SG   C2/m, No. 12
Raw formation energy   -1.5712 eV per atom
VASP energy   -6.82 eV per atom

=====

CaGd4Er: optimized geometry, PBE-GGA.

The structure in CIF format:
```
data_CaGd4Er
_symmetry_space_group_name_H-M 'P 1'
_symmetry_Int_Tables_number 1
_cell_length_a 6.6584
_cell_length_b 6.6584
_cell_length_c 6.6584
_cell_angle_alpha 60.00
_cell_angle_beta 60.00
_cell_angle_gamma 60.00
loop_
_symmetry_equiv_pos_as_xyz
'x,y,z'
loop_
_atom_site_label
_atom_site_type_symbol
_atom_site_fract_x
_atom_site_fract_y
_atom_site_fract_z
Ca1 Ca 0.0000 0.0000 0.0000
Gd1 Gd 0.3769 0.3769 0.3769
Gd2 Gd 0.3769 0.3769 0.8692
Gd3 Gd 0.3769 0.8692 0.3769
Gd4 Gd 0.8692 0.3769 0.3769
Er1 Er 0.7500 0.7500 0.7500
```

Values from the calculation:
SG   F-43m, No. 216
VASP energy   -10.26 eV per atom
Energy relative to the elements   0.22 eV/atom

=====

Nd5Te2Pb2: optimized geometry, PBE-GGA.

The structure in CIF format:
```
data_Nd5Te2Pb2
_symmetry_space_group_name_H-M 'P 1'
_symmetry_Int_Tables_number 1
_cell_length_a 9.0328
_cell_length_b 9.0328
_cell_length_c 8.4734
_cell_angle_alpha 90.00
_cell_angle_beta 90.00
_cell_angle_gamma 55.44
loop_
_symmetry_equiv_pos_as_xyz
'x,y,z'
loop_
_atom_site_label
_atom_site_type_symbol
_atom_site_fract_x
_atom_site_fract_y
_atom_site_fract_z
Nd1 Nd 0.0000 0.0000 0.0000
Nd2 Nd 0.0297 0.6956 0.6632
Nd3 Nd 0.1956 0.5297 0.1632
Nd4 Nd 0.3044 0.9703 0.6632
Nd5 Nd 0.4703 0.8044 0.1632
Nd6 Nd 0.5000 0.5000 0.5000
Nd7 Nd 0.5297 0.1956 0.8368
Nd8 Nd 0.6956 0.0297 0.3368
Nd9 Nd 0.8044 0.4703 0.8368
Nd10 Nd 0.9703 0.3044 0.3368
Te1 Te 0.2002 0.2002 0.0000
Te2 Te 0.2998 0.2998 0.5000
Te3 Te 0.7002 0.7002 0.5000
Te4 Te 0.7998 0.7998 0.0000
Pb1 Pb 0.1364 0.8636 0.3644
Pb2 Pb 0.3636 0.6364 0.8644
Pb3 Pb 0.6364 0.3636 0.1356
Pb4 Pb 0.8636 0.1364 0.6356
```

Values from the calculation:
SG   Cmce, No. 64
Raw formation energy   -0.9406 eV per atom
VASP energy   -5.11 eV per atom
Relative energy among the computed polymorphs   0 meV per atom

=====

Respective volume values: 106 242 209 569 Å³ per cell.